Below is an optimized crystal structure of CdCo2Tc, with properties calculated at the PBE level.

```
CdCo2Tc
1.0
4.461 0.000 0.000
0.000 4.462 0.000
0.000 0.000 2.790
Co Tc Cd
2 1 1
Direct
0.500 0.500 0.000 Co
0.000 0.000 0.000 Co
0.500 0.000 0.500 Tc
0.000 0.500 0.500 Cd
```

Properties
raw total energy: -5.96 eV/atom